[1]
Here is a relaxed Zr2Sc4Cu3C3 crystal from OQMD via LeMat-Bulk. Energies are from PBE.

Cell lengths 5.701, 5.701, 13.967 Å; angles 100.75, 100.75, 60.04 degrees
Positions (direct):
Zr 0.029 0.859 0.598
Zr 0.141 0.971 0.902
Zr 0.859 0.029 0.098
Zr 0.971 0.141 0.402
Sc 0.194 0.366 0.088
Sc 0.310 0.468 0.412
Sc 0.366 0.194 0.588
Sc 0.468 0.310 0.912
Sc 0.532 0.690 0.088
Sc 0.634 0.806 0.412
Sc 0.690 0.532 0.588
Sc 0.806 0.634 0.912
Cu 0.082 0.414 0.750
Cu 0.414 0.082 0.250
Cu 0.430 0.570 0.250
Cu 0.570 0.430 0.750
Cu 0.586 0.918 0.750
Cu 0.918 0.586 0.250
C 0.000 0.500 0.500
C 0.157 0.686 0.000
C 0.314 0.843 0.500
C 0.500 0.000 0.000
C 0.686 0.157 0.500
C 0.843 0.314 0.000

Calculated values
Total energy: -7.103 eV/atom
Space-group type: C2/c, No. 15

---

[2]
Here is a relaxed CuSiW4C2 crystal from OQMD via LeMat-Bulk. Energies are from PBE.

Cell lengths 3.096, 3.096, 12.576 Å; angles 90.00, 90.00, 120.00 degrees
Positions (direct):
Cu 0.000 0.000 0.000
Si 0.667 0.333 0.500
W 0.000 0.000 0.350
W 0.000 0.000 0.650
W 0.667 0.333 0.165
W 0.667 0.333 0.835
C 0.333 0.667 0.253
C 0.333 0.667 0.747

Calculated values
Total energy: -9.746 eV/atom
Space-group type: P-6m2, No. 187

---

total energy of number 1 (Zr2Sc4Cu3C3)?
-7.103 eV/atom

---

What is the total energy in the second record?
-9.746 eV/atom

---

Look up the total energy of the first one.
-7.103 eV/atom

---

Copy entry 1 word for word.
Here is a relaxed Zr2Sc4Cu3C3 crystal from OQMD via LeMat-Bulk. Energies are from PBE.

Cell lengths 5.701, 5.701, 13.967 Å; angles 100.75, 100.75, 60.04 degrees
Positions (direct):
Zr 0.029 0.859 0.598
Zr 0.141 0.971 0.902
Zr 0.859 0.029 0.098
Zr 0.971 0.141 0.402
Sc 0.194 0.366 0.088
Sc 0.310 0.468 0.412
Sc 0.366 0.194 0.588
Sc 0.468 0.310 0.912
Sc 0.532 0.690 0.088
Sc 0.634 0.806 0.412
Sc 0.690 0.532 0.588
Sc 0.806 0.634 0.912
Cu 0.082 0.414 0.750
Cu 0.414 0.082 0.250
Cu 0.430 0.570 0.250
Cu 0.570 0.430 0.750
Cu 0.586 0.918 0.750
Cu 0.918 0.586 0.250
C 0.000 0.500 0.500
C 0.157 0.686 0.000
C 0.314 0.843 0.500
C 0.500 0.000 0.000
C 0.686 0.157 0.500
C 0.843 0.314 0.000

Calculated values
Total energy: -7.103 eV/atom
Space-group type: C2/c, No. 15